[1]
Density functional theory data (GGA-PBE) for a relaxed structure of ZnRu2Pt2.

Structure (POSCAR):
```
ZnRu2Pt2
1.0
-1.752 6.539 -3.500
-6.068 -3.332 -3.188
-1.546 0.744 2.165
Pt Zn Ru
4 2 4
direct
0.876 0.624 0.000
0.624 0.124 0.000
0.124 0.376 0.000
0.376 0.876 0.000
0.000 0.000 0.000
0.500 0.500 0.000
0.174 0.674 0.500
0.826 0.326 0.500
0.674 0.826 0.500
0.326 0.174 0.500
```

Results
For the total energy, the calculation gives -60.85 eV for the cell shown. As for the formation energy: 0.296 eV/atom.

[2]
Density functional theory data (GGA-PBE) for a relaxed structure of Ac3Ga2Sn2.

Structure (POSCAR):
```
Ac3Ga2Sn2
1.0
-4.523 0.987 -0.405
1.089 -6.347 -0.973
-0.253 2.287 8.397
Ac Ga Sn
3 2 2
direct
0.677 0.355 0.640
0.323 0.645 0.360
0.500 0.000 0.000
0.201 0.403 0.932
0.799 0.597 0.068
0.968 0.936 0.680
0.032 0.064 0.320
```

Results
For the total energy, the calculation gives -30.96 eV for the cell shown. As for the formation energy: -0.653 eV/atom.

[3]
Density functional theory data (GGA-PBE) for a relaxed structure of BeNi2Sb.

Structure (POSCAR):
```
BeNi2Sb
1.0
2.975 0.000 0.000
0.000 2.970 0.000
0.000 0.000 5.906
Ni Be Sb
2 1 1
direct
0.000 0.000 0.955
0.000 0.000 0.545
0.500 0.500 0.750
0.500 0.500 0.250
```

Results
The energy above the most stable polymorph in this dataset is 99 meV/atom. For the total energy, the calculation gives -19.39 eV for the cell shown. The calculation puts the uncorrected formation energy at 0.006 eV per atom.

[4]
Density functional theory data (GGA-PBE) for a relaxed structure of TeOs2Br.

Structure (POSCAR):
```
TeOs2Br
1.0
3.240 0.000 0.000
0.000 3.240 0.000
0.000 0.000 7.043
Os Br Te
2 1 1
direct
0.000 0.000 0.457
0.000 0.000 0.043
0.500 0.500 0.750
0.500 0.500 0.250
```

Results
The energy above the most stable polymorph in this dataset is 967 meV/atom. For the total energy, the calculation gives -22.13 eV for the cell shown. The calculation puts the uncorrected formation energy at 1.287 eV per atom.

[5]
Density functional theory data (GGA-PBE) for a relaxed structure of Li2Ag5Pd5.

Structure (POSCAR):
```
Li2Ag5Pd5
1.0
-2.738 2.029 2.160
-0.089 -6.067 1.819
6.490 4.953 3.571
Pd Li Ag
5 2 5
direct
0.834 0.668 0.499
0.166 0.332 0.501
0.748 0.497 0.748
0.252 0.503 0.252
0.000 0.000 0.000
0.084 0.168 0.745
0.916 0.832 0.255
0.333 0.665 0.000
0.584 0.168 0.251
0.667 0.335 0.000
0.416 0.832 0.749
0.500 0.000 0.500
```

Results
The energy above the most stable polymorph in this dataset is 0 meV/atom. For the total energy, the calculation gives -46.06 eV for the cell shown. As for the formation energy: -0.168 eV/atom.

[6]
Density functional theory data (GGA-PBE) for a relaxed structure of La4SnPb3.

Structure (POSCAR):
```
La4SnPb3
1.0
-2.749 3.975 -0.201
-2.919 -2.157 -2.744
-6.255 -3.838 9.671
Pb La Sn
3 4 1
direct
0.000 0.500 0.594
0.000 0.000 0.407
0.500 0.000 0.909
0.000 0.500 0.869
0.500 0.000 0.634
0.500 0.500 0.363
0.000 0.000 0.133
0.500 0.500 0.091
```

Results
For the total energy, the calculation gives -40.08 eV for the cell shown. As for the formation energy: -0.656 eV/atom.

[7]
Density functional theory data (GGA-PBE) for a relaxed structure of ZrSi2As.

Structure (POSCAR):
```
ZrSi2As
1.0
-1.535 -4.069 1.703
2.114 -3.984 -1.212
2.558 -2.333 3.134
Si As Zr
2 1 1
direct
0.000 0.000 0.000
0.750 0.750 0.750
0.500 0.500 0.500
0.250 0.250 0.250
```

Results
The energy above the most stable polymorph in this dataset is 520 meV/atom. For the total energy, the calculation gives -23.37 eV for the cell shown. The calculation puts the uncorrected formation energy at 0.169 eV per atom.

[8]
Density functional theory data (GGA-PBE) for a relaxed structure of Ac6Tl5Pd.

Structure (POSCAR):
```
Ac6Tl5Pd
1.0
5.624 -0.365 0.930
-0.023 7.738 3.173
1.312 0.501 9.811
Ac Tl Pd
6 5 1
direct
0.500 0.229 0.000
0.842 0.605 0.317
0.500 0.771 0.000
0.158 0.922 0.683
0.842 0.078 0.317
0.158 0.395 0.683
0.680 0.181 0.639
0.000 0.500 0.000
0.320 0.819 0.361
0.339 0.338 0.323
0.661 0.662 0.677
0.000 0.000 0.000
```

Results
For the total energy, the calculation gives -46.34 eV for the cell shown. As for the formation energy: -0.389 eV/atom.

[9]
Density functional theory data (GGA-PBE) for a relaxed structure of Pm4CdHg.

Structure (POSCAR):
```
Pm4CdHg
1.0
-2.800 -3.339 2.917
0.340 -5.162 -0.869
5.631 -3.337 6.297
Pm Hg Cd
4 1 1
direct
0.625 0.626 0.123
0.375 0.374 0.877
0.124 0.124 0.627
0.876 0.876 0.373
0.000 0.000 0.000
0.500 0.500 0.500
```

Results
The energy above the most stable polymorph in this dataset is 247 meV/atom. For the total energy, the calculation gives -20.25 eV for the cell shown. As for the formation energy: -0.006 eV/atom.

[10]
Density functional theory data (GGA-PBE) for a relaxed structure of CePmYTc.

Structure (POSCAR):
```
CePmYTc
1.0
4.416 -0.015 -0.009
-2.195 3.832 0.009
-2.202 -1.273 6.821
Pm Y Tc Ce
1 1 1 1
direct
0.950 0.840 0.790
0.375 0.052 0.427
0.531 0.630 0.161
0.836 0.282 0.118
```

Results
For the total energy, the calculation gives -27.13 eV for the cell shown. As for the formation energy: 0.095 eV/atom.

[11]
Density functional theory data (GGA-PBE) for a relaxed structure of LaBiAu6.

Structure (POSCAR):
```
LaBiAu6
1.0
5.624 0.000 0.000
0.000 5.624 0.000
0.000 0.000 5.624
Bi Au La
1 6 1
direct
0.000 0.000 0.000
0.000 0.500 0.250
0.250 0.000 0.500
0.500 0.750 0.000
0.000 0.500 0.750
0.750 0.000 0.500
0.500 0.250 0.000
0.500 0.500 0.500
```

Results
For the total energy, the calculation gives -30.71 eV for the cell shown. As for the formation energy: -0.280 eV/atom.

[12]
Density functional theory data (GGA-PBE) for a relaxed structure of Li5Mg2Tl2Cd.

Structure (POSCAR):
```
Li5Mg2Tl2Cd
1.0
3.907 0.000 0.000
0.000 10.434 0.000
0.000 0.000 10.434
Tl Li Mg Cd
4 10 4 2
direct
0.000 0.367 0.133
0.000 0.133 0.633
0.000 0.867 0.367
0.000 0.633 0.867
0.500 0.932 0.190
0.500 0.310 0.568
0.500 0.500 0.000
0.500 0.690 0.432
0.500 0.810 0.932
0.500 0.068 0.810
0.500 0.568 0.690
0.500 0.190 0.068
0.500 0.432 0.310
0.500 0.000 0.500
0.000 0.667 0.167
0.000 0.333 0.833
0.000 0.167 0.333
0.000 0.833 0.667
0.000 0.500 0.500
0.000 0.000 0.000
```

Results
For the total energy, the calculation gives -39.07 eV for the cell shown. As for the formation energy: -0.113 eV/atom.